1.
First-principles (GGA+U) data for a relaxed CaMoF2 crystal, as listed in Alexandria.

The structure in POSCAR format:
```
CaMoF2
1.0
6.5642 0.0000 0.0000
0.0000 6.5642 0.0000
0.0000 0.0000 6.5642
Ca Mo F
4 4 8
Cartesian
0.0000 0.0000 0.0000
0.0000 3.2821 3.2821
3.2821 0.0000 3.2821
3.2821 3.2821 0.0000
0.0000 0.0000 3.2821
0.0000 3.2821 0.0000
3.2821 0.0000 0.0000
3.2821 3.2821 3.2821
1.6411 1.6411 1.6411
1.6411 1.6411 4.9232
1.6411 4.9232 1.6411
1.6411 4.9232 4.9232
4.9232 1.6411 1.6411
4.9232 1.6411 4.9232
4.9232 4.9232 1.6411
4.9232 4.9232 4.9232
```

Computed properties:
E above lowest polymorph	0.6744	eV/atom

=====

2.
First-principles (GGA+U) data for a relaxed Ca2MoF8 crystal, as listed in Alexandria.

The structure in POSCAR format:
```
Ca2MoF8
1.0
5.7873 -1.8674 0.0000
5.7873 1.8674 0.0000
-2.1412 0.0000 7.8126
Ca Mo F
2 1 8
Cartesian
2.3479 0.0000 1.4736
7.0855 0.0000 6.3390
-1.0706 0.0000 3.9063
0.2978 0.0000 2.4185
0.7608 0.0000 4.9264
1.7159 0.0000 7.5463
4.4476 0.0000 2.7887
4.9858 0.0000 5.0239
7.7176 0.0000 0.2663
8.6726 0.0000 2.8862
9.1356 0.0000 5.3941
```

Computed properties:
raw total energy	-61.70	eV per cell